Material: Zr4Mo3
Method: DFT, PBE
State: optimized geometry

```
Zr4Mo3
1.0
5.255 0.000 0.000
2.627 4.551 0.000
0.000 0.000 5.789
Zr Mo
4 3
Cartesian
0.000 0.000 1.516
2.627 1.517 2.895
5.255 3.034 2.895
0.000 0.000 4.273
1.314 2.275 0.000
3.941 2.275 0.000
2.627 0.000 0.000
```

Results
Magnetic moment ... 0.000 μB/atom
DOS at the Fermi energy ... 6.1 states/eV/f.u.
Calculated formation energy ... -0.065 eV per atom